(1)
Crystalline MgCrRh3 at its relaxed geometry. Source: the Alexandria database, functional GGA-PBE.

Cell lengths 4.4711, 4.4711, 4.4711 Å; angles 90.00, 90.00, 90.00 degrees
Sites, in units of the cell vectors:
1 Mg 0.0000 0.0000 0.0000
2 Cr 0.5000 0.5000 0.5000
3 Rh 0.0000 0.5000 0.5000
4 Rh 0.5000 0.0000 0.5000
5 Rh 0.5000 0.5000 0.0000

Results
Its space group is No. 221. Its crystal system is cubic. The calculation puts the relative energy among the computed polymorphs at 0 meV per atom. The density of states at the Fermi level comes out at 3.6 states/eV/cell. The theoretical density comes out at 7.15 g/cm³.



(2)
Crystalline MgCr2Rh at its relaxed geometry. Source: the Alexandria database, functional GGA-PBE.

Cell lengths 9.0750, 9.0750, 9.0750 Å; angles 17.07, 17.07, 17.07 degrees
Sites, in units of the cell vectors:
1 Mg 0.0000 0.0000 0.0000
2 Cr 0.2443 0.2443 0.2443
3 Cr 0.7557 0.7557 0.7557
4 Rh 0.5000 0.5000 0.5000

Results
Its space group is No. 166. Its crystal system is trigonal. The density of states at the Fermi level comes out at 5.0 states/eV/cell. The theoretical density comes out at 6.83 g/cm³.



(3)
Crystalline MgCr2Rh2 at its relaxed geometry. Source: the Alexandria database, functional GGA-PBE.

Cell lengths 7.3346, 7.3346, 2.7159 Å; angles 90.00, 90.00, 90.00 degrees
Sites, in units of the cell vectors:
1 Mg 0.0000 0.0000 0.0000
2 Mg 0.5000 0.5000 0.0000
3 Cr 0.1648 0.3352 0.5000
4 Cr 0.3352 0.8352 0.5000
5 Cr 0.6648 0.1648 0.5000
6 Cr 0.8352 0.6648 0.5000
7 Rh 0.1303 0.6303 0.0000
8 Rh 0.3697 0.1303 0.0000
9 Rh 0.6303 0.8697 0.0000
10 Rh 0.8697 0.3697 0.0000

Results
Its space group is No. 127. Its crystal system is tetragonal. The calculation puts the relative energy among the computed polymorphs at 85 meV per atom. The density of states at the Fermi level comes out at 9.7 states/eV/cell. The theoretical density comes out at 7.59 g/cm³.



(4)
Crystalline MgCr2Rh at its relaxed geometry. Source: the Alexandria database, functional GGA-PBE.

Cell lengths 5.6744, 5.6744, 5.6744 Å; angles 101.90, 101.90, 125.98 degrees
Sites, in units of the cell vectors:
1 Mg 0.0000 0.0000 0.0000
2 Mg 0.7500 0.2500 0.5000
3 Cr 0.1706 0.6250 0.0456
4 Cr 0.3750 0.4206 0.5456
5 Cr 0.5794 0.1250 0.9544
6 Cr 0.8750 0.8294 0.4544
7 Rh 0.2500 0.7500 0.5000
8 Rh 0.5000 0.5000 0.0000

Results
Its space group is No. 122. Its crystal system is tetragonal. The density of states at the Fermi level comes out at 9.5 states/eV/cell. The theoretical density comes out at 5.83 g/cm³.



(5)
Crystalline MgCrRh2 at its relaxed geometry. Source: the Alexandria database, functional GGA-PBE.

Cell lengths 8.6155, 8.6155, 8.6155 Å; angles 18.67, 18.67, 18.67 degrees
Sites, in units of the cell vectors:
1 Mg 0.0000 0.0000 0.0000
2 Cr 0.5000 0.5000 0.5000
3 Rh 0.2443 0.2443 0.2443
4 Rh 0.7557 0.7557 0.7557

Results
Its space group is No. 166. Its crystal system is trigonal. The density of states at the Fermi level comes out at 5.1 states/eV/cell. The theoretical density comes out at 8.18 g/cm³.



(6)
Crystalline MgCr2Rh at its relaxed geometry. Source: the Alexandria database, functional GGA-PBE.

Cell lengths 3.0223, 3.0223, 6.2448 Å; angles 90.00, 90.00, 90.00 degrees
Sites, in units of the cell vectors:
1 Mg 0.0000 0.0000 0.0000
2 Cr 0.0000 0.0000 0.5137
3 Cr 0.5000 0.5000 0.7025
4 Rh 0.5000 0.5000 0.2520

Results
Its space group is No. 99. Its crystal system is tetragonal. The density of states at the Fermi level comes out at 2.4 states/eV/cell. The theoretical density comes out at 6.73 g/cm³.



(7)
Crystalline MgCr2Rh at its relaxed geometry. Source: the Alexandria database, functional GGA-PBE.

Cell lengths 3.1024, 4.0993, 4.5170 Å; angles 90.00, 90.00, 90.00 degrees
Sites, in units of the cell vectors:
1 Mg 0.0000 0.0000 0.0000
2 Cr 0.0000 0.5000 0.5000
3 Cr 0.5000 0.0000 0.5000
4 Rh 0.5000 0.5000 0.0000

Results
Its space group is No. 47. Its crystal system is orthorhombic. The density of states at the Fermi level comes out at 2.8 states/eV/cell. The theoretical density comes out at 6.68 g/cm³.



(8)
Crystalline Mg4CrRh at its relaxed geometry. Source: the Alexandria database, functional GGA-PBE.

Cell lengths 5.4179, 5.4179, 5.4179 Å; angles 60.00, 60.00, 60.00 degrees
Sites, in units of the cell vectors:
1 Mg 0.1246 0.1246 0.1246
2 Mg 0.1246 0.1246 0.6263
3 Mg 0.1246 0.6263 0.1246
4 Mg 0.6263 0.1246 0.1246
5 Cr 0.5000 0.5000 0.5000
6 Rh 0.7500 0.7500 0.7500

Results
Its space group is No. 216. Its crystal system is cubic. The density of states at the Fermi level comes out at 3.2 states/eV/cell. The theoretical density comes out at 3.72 g/cm³.



(9)
Crystalline MgCrRh2 at its relaxed geometry. Source: the Alexandria database, functional GGA-PBE.

Cell lengths 4.4049, 4.4049, 4.4049 Å; angles 60.00, 60.00, 60.00 degrees
Sites, in units of the cell vectors:
1 Mg 0.0000 0.0000 0.0000
2 Cr 0.7500 0.7500 0.7500
3 Rh 0.2500 0.2500 0.2500
4 Rh 0.5000 0.5000 0.5000

Results
Its space group is No. 216. Its crystal system is cubic. The density of states at the Fermi level comes out at 5.2 states/eV/cell. The theoretical density comes out at 7.75 g/cm³.



(10)
Crystalline MgCr2Rh at its relaxed geometry. Source: the Alexandria database, functional GGA-PBE.

Cell lengths 4.8949, 4.8949, 2.6195 Å; angles 90.00, 90.00, 119.92 degrees
Sites, in units of the cell vectors:
1 Mg 0.0000 0.0000 0.0000
2 Cr 0.0000 0.5000 0.5000
3 Cr 0.5000 0.0000 0.5000
4 Rh 0.5000 0.5000 0.0000

Results
Its space group is No. 65. Its crystal system is orthorhombic. The density of states at the Fermi level comes out at 5.7 states/eV/cell. The theoretical density comes out at 7.06 g/cm³.



(11)
Crystalline MgCrRh2 at its relaxed geometry. Source: the Alexandria database, functional GGA-PBE.

Cell lengths 5.5645, 5.5645, 5.5645 Å; angles 104.08, 104.08, 120.88 degrees
Sites, in units of the cell vectors:
1 Mg 0.0000 0.0000 0.0000
2 Mg 0.7500 0.2500 0.5000
3 Cr 0.2500 0.7500 0.5000
4 Cr 0.5000 0.5000 0.0000
5 Rh 0.1676 0.6250 0.0426
6 Rh 0.3750 0.4176 0.5426
7 Rh 0.5824 0.1250 0.9574
8 Rh 0.8750 0.8324 0.4574

Results
Its space group is No. 122. Its crystal system is tetragonal. The density of states at the Fermi level comes out at 7.0 states/eV/cell. The theoretical density comes out at 7.28 g/cm³.



(12)
Crystalline MgCrRh6 at its relaxed geometry. Source: the Alexandria database, functional GGA-PBE.

Cell lengths 3.8304, 3.8304, 7.7168 Å; angles 90.00, 90.00, 90.00 degrees
Sites, in units of the cell vectors:
1 Mg 0.0000 0.0000 0.0000
2 Cr 0.0000 0.0000 0.5000
3 Rh 0.0000 0.5000 0.2613
4 Rh 0.0000 0.5000 0.7387
5 Rh 0.5000 0.0000 0.2613
6 Rh 0.5000 0.0000 0.7387
7 Rh 0.5000 0.5000 0.0000
8 Rh 0.5000 0.5000 0.5000

Results
Its space group is No. 123. Its crystal system is tetragonal. The density of states at the Fermi level comes out at 8.2 states/eV/cell. The theoretical density comes out at 10.17 g/cm³.



(13)
Crystalline MgCr2Rh at its relaxed geometry. Source: the Alexandria database, functional GGA-PBE.

Cell lengths 2.6924, 2.6924, 7.7204 Å; angles 90.00, 90.00, 90.00 degrees
Sites, in units of the cell vectors:
1 Mg 0.0000 0.0000 0.0000
2 Cr 0.0000 0.0000 0.4821
3 Cr 0.5000 0.5000 0.7147
4 Rh 0.5000 0.5000 0.2673

Results
Its space group is No. 99. Its crystal system is tetragonal. The density of states at the Fermi level comes out at 4.0 states/eV/cell. The theoretical density comes out at 6.86 g/cm³.



(14)
Crystalline MgCr2Rh at its relaxed geometry. Source: the Alexandria database, functional GGA-PBE.

Cell lengths 4.3501, 4.3501, 4.3501 Å; angles 60.00, 60.00, 60.00 degrees
Sites, in units of the cell vectors:
1 Mg 0.0000 0.0000 0.0000
2 Cr 0.5000 0.5000 0.5000
3 Cr 0.7500 0.7500 0.7500
4 Rh 0.2500 0.2500 0.2500

Results
Its space group is No. 216. Its crystal system is cubic. The density of states at the Fermi level comes out at 4.3 states/eV/cell. The theoretical density comes out at 6.60 g/cm³.



(15)
Crystalline MgCr2Rh at its relaxed geometry. Source: the Alexandria database, functional GGA-PBE.

Cell lengths 2.7065, 2.7065, 8.2983 Å; angles 90.00, 90.00, 113.03 degrees
Sites, in units of the cell vectors:
1 Mg 0.0000 0.0000 0.0000
2 Cr 0.0000 0.0000 0.5132
3 Cr 0.5000 0.5000 0.7150
4 Rh 0.5000 0.5000 0.2655

Results
Its space group is No. 35. Its crystal system is orthorhombic. The density of states at the Fermi level comes out at 3.1 states/eV/cell. The theoretical density comes out at 6.86 g/cm³.



Number 1: uncorrected energy -30.9 eV/cell, calculated volume 89 Å³/cell. Number 2: uncorrected energy -26.7 eV/cell, calculated volume 56 Å³/cell. Number 3: uncorrected energy -70.6 eV/cell, calculated volume 146 Å³/cell. Number 4: uncorrected energy -51.1 eV/cell, calculated volume 132 Å³/cell. Number 5: uncorrected energy -26.3 eV/cell, calculated volume 57 Å³/cell. Number 6: uncorrected energy -28.1 eV/cell, calculated volume 57 Å³/cell. Number 7: uncorrected energy -28.1 eV/cell, calculated volume 57 Å³/cell. Number 8: uncorrected energy -21.3 eV/cell, calculated volume 112 Å³/cell. Number 9: uncorrected energy -25.6 eV/cell, calculated volume 60 Å³/cell. Number 10: uncorrected energy -27.0 eV/cell, calculated volume 54 Å³/cell. Number 11: uncorrected energy -50.4 eV/cell, calculated volume 129 Å³/cell. Number 12: uncorrected energy -56.8 eV/cell, calculated volume 113 Å³/cell. Number 13: uncorrected energy -27.4 eV/cell, calculated volume 56 Å³/cell. Number 14: uncorrected energy -28.0 eV/cell, calculated volume 58 Å³/cell. Number 15: uncorrected energy -27.6 eV/cell, calculated volume 56 Å³/cell.